[1]
Computed, not measured: a relaxed AcThPa4 crystal at the PBE level of DFT.

```
AcThPa4
1.0
-5.2316 3.2797 -0.7500
-3.1032 -0.2829 -5.3832
-5.4865 -2.9170 -0.2774
Pa Th Ac
4 1 1
Direct
0.1241 0.6253 0.6253
0.6253 0.1241 0.6253
0.6253 0.6253 0.6253
0.6253 0.6253 0.1241
0.0000 0.0000 0.0000
0.2500 0.2500 0.2500
```

[2]
Computed, not measured: a relaxed Ac2ThPa crystal at the PBE level of DFT.

```
Ac2ThPa
1.0
-2.7892 -1.0651 -1.9615
0.5314 -1.4493 -3.2216
-0.0690 -12.4860 3.6249
Ac Th Pa
2 1 1
Direct
0.0871 0.0871 0.7388
0.9129 0.9129 0.2612
0.5000 0.5000 0.5000
0.0000 0.0000 0.0000
```

[3]
Computed, not measured: a relaxed AcPaTl6 crystal at the PBE level of DFT.

```
AcPaTl6
1.0
0.0492 -1.7334 8.7944
7.7509 -1.5958 4.2103
2.9792 2.7158 5.0867
Tl Pa Ac
6 1 1
Direct
0.4778 0.8404 0.8414
0.8404 0.8404 0.8414
0.8404 0.4778 0.8414
0.1596 0.5222 0.1586
0.5222 0.1596 0.1586
0.1596 0.1596 0.1586
0.5000 0.5000 0.5000
0.0000 0.0000 0.0000
```

[4]
Computed, not measured: a relaxed AcTmPa crystal at the PBE level of DFT.

```
AcTmPa
1.0
3.5946 0.0000 0.0000
0.0000 3.5946 0.0000
0.0000 0.0000 14.9871
Ac Tm Pa
2 2 2
Direct
0.5000 0.0000 0.7678
0.0000 0.5000 0.2322
0.5000 0.0000 0.4237
0.0000 0.5000 0.5763
0.5000 0.0000 0.0655
0.0000 0.5000 0.9345
```

Calculated values
- excess energy over the best structure of this formula in the dataset (meV per atom) = 0

[5]
Computed, not measured: a relaxed AcTmPa crystal at the PBE level of DFT.

```
AcTmPa
1.0
3.5445 0.0000 0.0000
-1.7722 3.0696 0.0000
0.0000 0.0000 8.8068
Tm Pa Ac
1 1 1
Direct
0.6667 0.3333 0.3131
0.0000 0.0000 0.0083
0.3333 0.6667 0.6786
```

Calculated values
- excess energy over the best structure of this formula in the dataset (meV per atom) = 62

[6]
Computed, not measured: a relaxed AcTm2Pa crystal at the PBE level of DFT.

```
AcTm2Pa
1.0
-3.2501 0.6047 -1.0754
-2.6721 -1.5715 1.5732
-2.8426 9.0685 8.0712
Pa Tm Ac
1 2 1
Direct
0.5000 0.5000 0.5000
0.0951 0.0951 0.7146
0.9049 0.9049 0.2854
0.0000 0.0000 0.0000
```

[7]
Computed, not measured: a relaxed AcPa2W crystal at the PBE level of DFT.

```
AcPa2W
1.0
3.8369 0.0000 0.0000
1.9185 3.3229 0.0000
1.9185 1.1076 10.2386
Pa Ac W
2 1 1
Direct
0.1133 0.1133 0.6602
0.8867 0.8867 0.3398
0.0000 0.0000 0.0000
0.5000 0.5000 0.5000
```

[8]
Computed, not measured: a relaxed AcYPa crystal at the PBE level of DFT.

```
AcYPa
1.0
-2.8660 3.1968 2.9774
-5.0700 -0.9969 0.7743
-0.4725 -4.4064 8.8605
Pa Y Ac
2 2 2
Direct
0.8368 0.8368 0.4896
0.1632 0.1632 0.5104
0.5568 0.5568 0.3297
0.4432 0.4432 0.6703
0.2893 0.2893 0.1320
0.7107 0.7107 0.8680
```

[9]
Computed, not measured: a relaxed AcY2Pa crystal at the PBE level of DFT.

```
AcY2Pa
1.0
3.4579 0.0000 0.0000
1.7290 2.9947 0.0000
1.7290 0.9982 12.6451
Y Pa Ac
2 1 1
Direct
0.0854 0.0854 0.7437
0.9146 0.9146 0.2563
0.0000 0.0000 0.0000
0.5000 0.5000 0.5000
```

[10]
Computed, not measured: a relaxed Ac2YPa crystal at the PBE level of DFT.

```
Ac2YPa
1.0
-3.2088 -0.5855 1.4312
-2.6155 -1.3701 -1.9922
1.7489 -12.6122 3.1935
Pa Y Ac
1 1 2
Direct
0.0000 0.0000 0.0000
0.5000 0.5000 0.5000
0.0858 0.0858 0.7426
0.9142 0.9142 0.2574
```

[11]
Computed, not measured: a relaxed AcPaZn4 crystal at the PBE level of DFT.

```
AcPaZn4
1.0
-2.3494 -3.2189 3.9651
-2.1156 -5.0299 -1.3517
2.5862 -4.6890 1.7110
Zn Ac Pa
4 1 1
Direct
0.1196 0.6268 0.6268
0.6268 0.1196 0.6268
0.6268 0.6268 0.1196
0.6268 0.6268 0.6268
0.2500 0.2500 0.2500
0.0000 0.0000 0.0000
```

[12]
Computed, not measured: a relaxed AcPaZn2 crystal at the PBE level of DFT.

```
AcPaZn2
1.0
3.5330 0.0000 0.0000
1.7665 3.0597 0.0000
1.7665 1.0199 9.7736
Zn Ac Pa
2 1 1
Direct
0.2554 0.2554 0.2337
0.7446 0.7446 0.7663
0.5000 0.5000 0.5000
0.0000 0.0000 0.0000
```

Calculated values
- excess energy over the best structure of this formula in the dataset (meV per atom) = 179

no.,E_tot (Ry/atom),formation energy from the elements (eV/atom)
1,-0.592,0.20
2,-0.424,0.51
3,-0.238,0.24
4,-0.428,0.20
5,-0.423,0.27
6,-0.396,0.25
7,-0.601,0.83
8,-0.461,0.42
9,-0.455,0.44
10,-0.408,0.49
11,-0.232,-0.04
12,-0.282,0.20